(1)
A plane-wave DFT calculation with PBE was carried out for an optimized crystal structure of UAlIn.

a = 7.6210 Å, b = 7.6210 Å, c = 7.6210 Å
α = 157.84°, β = 157.84°, γ = 31.54°
With the nearest neighbours (Å) after each atom.
Atoms (fractional coordinates):
U 0.0000 0.0000 0.0000  4 U 2.93, 4 Al 3.06
Al 0.6538 0.6538 0.0000  4 Al 2.93, 4 U 3.06, 4 In 3.19
In 0.3194 0.3194 0.0000  4 In 2.93, 4 Al 3.19

Values from the calculation:
As for the density of states at the Fermi level: 4.1 states/eV per cell. Its space group is I4mm, No. 107. The value obtained for the total energy is -5.79 eV/atom. The crystal system is tetragonal. The value obtained for the formation energy is 128 meV per atom.

***

(2)
A plane-wave DFT calculation with PBE was carried out for an optimized crystal structure of LaY2Re.

a = 6.4011 Å, b = 6.4011 Å, c = 5.4128 Å
α = 114.70°, β = 114.70°, γ = 33.17°
With the nearest neighbours (Å) after each atom.
Atoms (fractional coordinates):
La 0.0000 0.0000 0.0000  2 Re 2.82
Y 0.1980 0.1980 0.6997  4 Re 3.20-3.33, 2 La 3.46-3.50, 2 Y 3.47-3.48
Y 0.3953 0.3953 0.3957  2 Re 2.87
Re 0.6945 0.6945 0.2102  2 La 2.82, 2 Y 2.87

Values from the calculation:
As for the density of states at the Fermi level: 5.4 states/eV per cell. Its space group is Cm, No. 8. The value obtained for the total energy is -7.37 eV/atom. The crystal system is monoclinic. The value obtained for the formation energy is 204 meV per atom.

***

(3)
A plane-wave DFT calculation with PBE was carried out for an optimized crystal structure of CaPmPrAl.

a = 5.5213 Å, b = 5.5213 Å, c = 5.5213 Å
α = 60.00°, β = 60.00°, γ = 60.00°
With the nearest neighbours (Å) after each atom.
Atoms (fractional coordinates):
Ca 0.0000 0.0000 0.0000  4 Pr 3.38, 4 Pm 3.38
Pm 0.7500 0.7500 0.7500  4 Al 3.38, 4 Ca 3.38
Pr 0.2500 0.2500 0.2500  4 Al 3.38, 4 Ca 3.38
Al 0.5000 0.5000 0.5000  4 Pm 3.38, 4 Pr 3.38

Values from the calculation:
As for the density of states at the Fermi level: 2.9 states/eV per cell. Its space group is F-43m, No. 216. The value obtained for the total energy is -3.90 eV/atom. The crystal system is cubic. The value obtained for the formation energy is -85 meV per atom.

***

(4)
A plane-wave DFT calculation with PBE was carried out for an optimized crystal structure of YZnRe2.

a = 5.4327 Å, b = 5.4327 Å, c = 5.4327 Å
α = 143.68°, β = 127.93°, γ = 65.14°
With the nearest neighbours (Å) after each atom.
Atoms (fractional coordinates):
Y 0.0000 0.0000 0.0000  8 Re 2.93-3.13, 4 Zn 3.07-3.12
Zn 0.2801 0.7801 0.5000  6 Re 2.81-2.97, 4 Y 3.07-3.12
Re 0.5252 0.5252 0.0000  2 Re 2.47
Re 0.7222 0.2222 0.5000  2 Re 2.47

Values from the calculation:
As for the density of states at the Fermi level: 2.7 states/eV per cell. Its space group is Imm2, No. 44. The value obtained for the total energy is -7.87 eV/atom. The crystal system is orthorhombic. The value obtained for the formation energy is 290 meV per atom.

***

(5)
A plane-wave DFT calculation with PBE was carried out for an optimized crystal structure of Na3Zn5Hg12.

a = 14.6603 Å, b = 14.6603 Å, c = 14.6603 Å
α = 109.47°, β = 109.47°, γ = 109.47°
With the nearest neighbours (Å) after each atom.
Atoms (fractional coordinates):
Na 0.1250 0.2500 0.3750  4 Hg 3.07
Na 0.1250 0.3750 0.7500  4 Hg 3.07
Na 0.2500 0.3750 0.1250  4 Hg 3.07
Na 0.2500 0.8750 0.6250  4 Hg 3.07
Na 0.3750 0.1250 0.2500  4 Hg 3.07
Na 0.3750 0.7500 0.1250  4 Hg 3.07
Na 0.6250 0.2500 0.8750  4 Hg 3.07
Na 0.6250 0.8750 0.7500  4 Hg 3.07
Na 0.7500 0.1250 0.3750  4 Hg 3.07
Na 0.7500 0.6250 0.8750  4 Hg 3.07
Na 0.8750 0.6250 0.2500  4 Hg 3.07
Na 0.8750 0.7500 0.6250  4 Hg 3.07
Zn 0.0000 0.0000 0.0000  6 Hg 2.73
Zn 0.0000 0.0000 0.5000  6 Hg 2.73
Zn 0.0000 0.5000 0.0000  6 Hg 2.73
Zn 0.0000 0.5000 0.5000  6 Hg 2.73
Zn 0.1250 0.7500 0.8750  4 Hg 2.68
Zn 0.1250 0.8750 0.2500  4 Hg 2.68
Zn 0.2500 0.1250 0.8750  4 Hg 2.68
Zn 0.2500 0.6250 0.3750  4 Hg 2.68
Zn 0.3750 0.2500 0.6250  4 Hg 2.68
Zn 0.3750 0.6250 0.7500  4 Hg 2.68
Zn 0.5000 0.0000 0.0000  6 Hg 2.73
Zn 0.5000 0.0000 0.5000  6 Hg 2.73
Zn 0.5000 0.5000 0.0000  6 Hg 2.73
Zn 0.5000 0.5000 0.5000  6 Hg 2.73
Zn 0.6250 0.3750 0.2500  4 Hg 2.68
Zn 0.6250 0.7500 0.3750  4 Hg 2.68
Zn 0.7500 0.3750 0.6250  4 Hg 2.68
Zn 0.7500 0.8750 0.1250  4 Hg 2.68
Zn 0.8750 0.1250 0.7500  4 Hg 2.68
Zn 0.8750 0.2500 0.1250  4 Hg 2.68
Hg 0.0296 0.2105 0.0905  2 Zn 2.68-2.73
Hg 0.0296 0.3191 0.9391  2 Zn 2.68-2.73
Hg 0.0609 0.5905 0.3800  2 Zn 2.68-2.73
Hg 0.0609 0.9704 0.6809  2 Zn 2.68-2.73
Hg 0.0905 0.0296 0.2105  2 Zn 2.68-2.73
Hg 0.0905 0.5609 0.8800  2 Zn 2.68-2.73
Hg 0.1200 0.7105 0.6809  2 Zn 2.68-2.73
Hg 0.1200 0.9095 0.4391  2 Zn 2.68-2.73
Hg 0.1809 0.2105 0.6200  2 Zn 2.68-2.73
Hg 0.1809 0.4704 0.5609  2 Zn 2.68-2.73
Hg 0.2105 0.0905 0.0296  2 Zn 2.68-2.73
Hg 0.2105 0.6200 0.1809  2 Zn 2.68-2.73
Hg 0.2895 0.3191 0.8800  2 Zn 2.68-2.73
Hg 0.2895 0.4704 0.4095  2 Zn 2.68-2.73
Hg 0.3191 0.8800 0.2895  2 Zn 2.68-2.73
Hg 0.3191 0.9391 0.0296  2 Zn 2.68-2.73
Hg 0.3800 0.0609 0.5905  2 Zn 2.68-2.73
Hg 0.3800 0.8191 0.7895  2 Zn 2.68-2.73
Hg 0.4095 0.2895 0.4704  2 Zn 2.68-2.73
Hg 0.4095 0.6200 0.9391  2 Zn 2.68-2.73
Hg 0.4391 0.1200 0.9095  2 Zn 2.68-2.73
Hg 0.4391 0.8191 0.5296  2 Zn 2.68-2.73
Hg 0.4704 0.4095 0.2895  2 Zn 2.68-2.73
Hg 0.4704 0.5609 0.1809  2 Zn 2.68-2.73
Hg 0.5296 0.4391 0.8191  2 Zn 2.68-2.73
Hg 0.5296 0.5905 0.7105  2 Zn 2.68-2.73
Hg 0.5609 0.1809 0.4704  2 Zn 2.68-2.73
Hg 0.5609 0.8800 0.0905  2 Zn 2.68-2.73
Hg 0.5905 0.3800 0.0609  2 Zn 2.68-2.73
Hg 0.5905 0.7105 0.5296  2 Zn 2.68-2.73
Hg 0.6200 0.1809 0.2105  2 Zn 2.68-2.73
Hg 0.6200 0.9391 0.4095  2 Zn 2.68-2.73
Hg 0.6809 0.0609 0.9704  2 Zn 2.68-2.73
Hg 0.6809 0.1200 0.7105  2 Zn 2.68-2.73
Hg 0.7105 0.5296 0.5905  2 Zn 2.68-2.73
Hg 0.7105 0.6809 0.1200  2 Zn 2.68-2.73
Hg 0.7895 0.3800 0.8191  2 Zn 2.68-2.73
Hg 0.7895 0.9095 0.9704  2 Zn 2.68-2.73
Hg 0.8191 0.5296 0.4391  2 Zn 2.68-2.73
Hg 0.8191 0.7895 0.3800  2 Zn 2.68-2.73
Hg 0.8800 0.0905 0.5609  2 Zn 2.68-2.73
Hg 0.8800 0.2895 0.3191  2 Zn 2.68-2.73
Hg 0.9095 0.4391 0.1200  2 Zn 2.68-2.73
Hg 0.9095 0.9704 0.7895  2 Zn 2.68-2.73
Hg 0.9391 0.0296 0.3191  2 Zn 2.68-2.73
Hg 0.9391 0.4095 0.6200  2 Zn 2.68-2.73
Hg 0.9704 0.6809 0.0609  2 Zn 2.68-2.73
Hg 0.9704 0.7895 0.9095  2 Zn 2.68-2.73

Values from the calculation:
As for the density of states at the Fermi level: 28.7 states/eV per cell. Its space group is Ia-3d, No. 230. The value obtained for the total energy is -0.63 eV/atom. The crystal system is cubic. The value obtained for the formation energy is 64 meV per atom.

***

(6)
A plane-wave DFT calculation with PBE was carried out for an optimized crystal structure of BaCr4Pt.

a = 5.1251 Å, b = 5.1251 Å, c = 5.1251 Å
α = 60.00°, β = 60.00°, γ = 60.00°
With the nearest neighbours (Å) after each atom.
Atoms (fractional coordinates):
Ba 0.0000 0.0000 0.0000  12 Cr 3.01, 4 Pt 3.14
Cr 0.1344 0.6219 0.6219  6 Cr 2.50-2.63
Cr 0.6219 0.1344 0.6219  6 Cr 2.50-2.63
Cr 0.6219 0.6219 0.1344  6 Cr 2.50-2.63
Cr 0.6219 0.6219 0.6219  6 Cr 2.50-2.63
Pt 0.2500 0.2500 0.2500  12 Cr 3.00, 4 Ba 3.14

Values from the calculation:
As for the density of states at the Fermi level: 8.4 states/eV per cell. Its space group is F-43m, No. 216. The value obtained for the total energy is -6.86 eV/atom. The crystal system is cubic. The value obtained for the formation energy is 880 meV per atom.